Entry 1:
A relaxed Pr6S2I3Br crystal. Source: Alexandria via LeMat-Bulk, functional PBE-GGA.

Computed properties:
Formation energy without anion corrections: -1.274 eV/atom
D(E_F): 18.27 states/eV/cell
Density: 6.25 Mg/m³
M_tot: 0.000 μB/atom
VASP energy: -117.10 eV/cell

The structure in CIF format:
```
data_Pr6S2I3Br
_chemical_formula_sum 'Pr12 S4 I6 Br2'
_cell_length_a 7.405
_cell_length_b 12.850
_cell_length_c 8.043
_cell_angle_alpha 90.00
_cell_angle_beta 107.87
_cell_angle_gamma 90.00
_symmetry_space_group_name_H-M 'C 1 2/m 1'
_symmetry_Int_Tables_number 12
loop_
_symmetry_equiv_pos_as_xyz
'x,y,z'
'-x,-y,-z'
'-x,y,-z'
'x,-y,z'
'x+1/2,y+1/2,z'
'-x+1/2,-y+1/2,-z'
'-x+1/2,y+1/2,-z'
'x+1/2,-y+1/2,z'
loop_
_atom_site_label
_atom_site_fract_x
_atom_site_fract_y
_atom_site_fract_z
Pr1 0.206 0.000 0.188
Pr2 0.241 0.322 0.189
S1 0.000 0.167 0.000
I1 0.000 0.000 0.500
I2 0.000 0.337 0.500
Br1 0.000 0.500 0.000
```

***

Entry 2:
A relaxed Pr6Si2IBr3 crystal. Source: Alexandria via LeMat-Bulk, functional PBE-GGA.

Computed properties:
Formation energy without anion corrections: -1.040 eV/atom
D(E_F): 13.89 states/eV/cell
Density: 5.81 Mg/m³
M_tot: 0.000 μB/atom
VASP energy: -117.15 eV/cell

The structure in CIF format:
```
data_Pr6Si2IBr3
_chemical_formula_sum 'Pr12 Si4 I2 Br6'
_cell_length_a 19.092
_cell_length_b 4.354
_cell_length_c 8.914
_cell_angle_alpha 90.00
_cell_angle_beta 101.95
_cell_angle_gamma 90.00
_symmetry_space_group_name_H-M 'C 1 2/m 1'
_symmetry_Int_Tables_number 12
loop_
_symmetry_equiv_pos_as_xyz
'x,y,z'
'-x,-y,-z'
'-x,y,-z'
'x,-y,z'
'x+1/2,y+1/2,z'
'-x+1/2,-y+1/2,-z'
'-x+1/2,y+1/2,-z'
'x+1/2,-y+1/2,z'
loop_
_atom_site_label
_atom_site_fract_x
_atom_site_fract_y
_atom_site_fract_z
Pr1 0.018 0.000 0.271
Pr2 0.173 0.500 0.130
Pr3 0.174 0.500 0.567
Si1 0.170 0.000 0.342
I1 0.000 0.500 0.000
Br1 0.000 0.500 0.500
Br2 0.163 0.000 0.840
```

***

Entry 3:
A relaxed Pr4SiI2Br crystal. Source: Alexandria via LeMat-Bulk, functional PBE-GGA.

Computed properties:
Formation energy without anion corrections: -0.980 eV/atom
D(E_F): 4.66 states/eV/cell
Density: 6.09 Mg/m³
M_tot: 0.000 μB/atom
VASP energy: -37.15 eV/cell

The structure in CIF format:
```
data_Pr4SiI2Br
_chemical_formula_sum 'Pr4 Si1 I2 Br1'
_cell_length_a 7.378
_cell_length_b 4.272
_cell_length_c 8.382
_cell_angle_alpha 90.00
_cell_angle_beta 107.14
_cell_angle_gamma 90.00
_symmetry_space_group_name_H-M 'P 1 2/m 1'
_symmetry_Int_Tables_number 10
loop_
_symmetry_equiv_pos_as_xyz
'x,y,z'
'-x,-y,-z'
'-x,y,-z'
'x,-y,z'
loop_
_atom_site_label
_atom_site_fract_x
_atom_site_fract_y
_atom_site_fract_z
Pr1 0.217 0.000 0.201
Pr2 0.243 0.500 0.794
Si1 0.000 0.500 0.000
I1 0.000 0.000 0.500
I2 0.500 0.500 0.500
Br1 0.500 0.000 0.000
```

***

Entry 4:
A relaxed Pr8Si3I4Br crystal. Source: Alexandria via LeMat-Bulk, functional PBE-GGA.

Computed properties:
Formation energy without anion corrections: -0.992 eV/atom
D(E_F): 22.36 states/eV/cell
Density: 5.84 Mg/m³
M_tot: 0.000 μB/atom
VASP energy: -234.76 eV/cell

The structure in CIF format:
```
data_Pr8Si3I4Br
_chemical_formula_sum 'Pr24 Si9 I12 Br3'
_cell_length_a 8.7500
_cell_length_b 8.7500
_cell_length_c 23.1535
_cell_angle_alpha 90.00
_cell_angle_beta 90.00
_cell_angle_gamma 120.00
_symmetry_space_group_name_H-M 'R -3 m'
_symmetry_Int_Tables_number 166
_symmetry_space_group_name_Hall '-R 3 2"'
loop_
_atom_site_label
_atom_site_fract_x
_atom_site_fract_y
_atom_site_fract_z
Pr1 0.0000 0.0000 0.2326
Pr2 0.0204 0.5102 0.7671
Si1 0.0000 0.5000 0.5000
I1 0.0000 0.0000 0.0000
I2 0.0000 0.5000 0.0000
Br1 0.0000 0.0000 0.5000
```

***

Entry 5:
A relaxed PrSmIBr crystal. Source: Alexandria via LeMat-Bulk, functional PBE-GGA.

Computed properties:
Formation energy without anion corrections: -0.844 eV/atom
D(E_F): 6.77 states/eV/cell
Density: 7.48 Mg/m³
M_tot: 0.000 μB/atom
VASP energy: -64.39 eV/cell

The structure in CIF format:
```
data_PrSmIBr
_chemical_formula_sum 'Pr4 Sm4 I4 Br4'
_cell_length_a 7.620
_cell_length_b 7.620
_cell_length_c 7.620
_cell_angle_alpha 90.00
_cell_angle_beta 90.00
_cell_angle_gamma 90.00
_symmetry_space_group_name_H-M 'F -4 3 m'
_symmetry_Int_Tables_number 216
_symmetry_space_group_name_Hall 'F -4 2 3'
loop_
_atom_site_label
_atom_site_fract_x
_atom_site_fract_y
_atom_site_fract_z
Pr1 0.000 0.000 0.000
Sm1 0.000 0.000 0.500
I1 0.250 0.250 0.250
Br1 0.250 0.250 0.750
```

***

Entry 6:
A relaxed Pr4TcI2Br crystal. Source: Alexandria via LeMat-Bulk, functional PBE-GGA.

Computed properties:
Formation energy without anion corrections: -0.721 eV/atom
D(E_F): 6.49 states/eV/cell
Density: 6.12 Mg/m³
M_tot: 0.000 μB/atom
VASP energy: -40.03 eV/cell

The structure in CIF format:
```
data_Pr4TcI2Br
_chemical_formula_sum 'Pr4 Tc1 I2 Br1'
_cell_length_a 7.991
_cell_length_b 4.210
_cell_length_c 8.305
_cell_angle_alpha 90.00
_cell_angle_beta 104.85
_cell_angle_gamma 90.00
_symmetry_space_group_name_H-M 'P 1 2/m 1'
_symmetry_Int_Tables_number 10
loop_
_symmetry_equiv_pos_as_xyz
'x,y,z'
'-x,-y,-z'
'-x,y,-z'
'x,-y,z'
loop_
_atom_site_label
_atom_site_fract_x
_atom_site_fract_y
_atom_site_fract_z
Pr1 0.199 0.000 0.192
Pr2 0.219 0.500 0.799
Tc1 0.000 0.500 0.000
I1 0.000 0.000 0.500
I2 0.500 0.500 0.500
Br1 0.500 0.000 0.000
```

***

Entry 7:
A relaxed Pr8Zn3I4Br crystal. Source: Alexandria via LeMat-Bulk, functional PBE-GGA.

Computed properties:
Formation energy without anion corrections: -0.706 eV/atom
D(E_F): 21.35 states/eV/cell
Density: 6.31 Mg/m³
M_tot: 0.000 μB/atom
VASP energy: -122.44 eV/cell

The structure in CIF format:
```
data_Pr8Zn3I4Br
_chemical_formula_sum 'Pr16 Zn6 I8 Br2'
_cell_length_a 14.676
_cell_length_b 8.464
_cell_length_c 9.461
_cell_angle_alpha 90.00
_cell_angle_beta 121.17
_cell_angle_gamma 90.00
_symmetry_space_group_name_H-M 'C 1 2/m 1'
_symmetry_Int_Tables_number 12
loop_
_symmetry_equiv_pos_as_xyz
'x,y,z'
'-x,-y,-z'
'-x,y,-z'
'x,-y,z'
'x+1/2,y+1/2,z'
'-x+1/2,-y+1/2,-z'
'-x+1/2,y+1/2,-z'
'x+1/2,-y+1/2,z'
loop_
_atom_site_label
_atom_site_fract_x
_atom_site_fract_y
_atom_site_fract_z
Pr1 0.012 0.250 0.286
Pr2 0.238 0.000 0.714
Pr3 0.238 0.500 0.715
Zn1 0.000 0.500 0.500
Zn2 0.250 0.250 0.500
I1 0.000 0.000 0.000
I2 0.000 0.500 0.000
I3 0.250 0.250 0.000
Br1 0.000 0.000 0.500
```

***

Entry 8:
A relaxed Pt5I12Br crystal. Source: Alexandria via LeMat-Bulk, functional PBE-GGA.

Computed properties:
Formation energy without anion corrections: -0.074 eV/atom
D(E_F): 11.01 states/eV/cell
Density: 5.75 Mg/m³
M_tot: 0.000 μB/atom
VASP energy: -51.82 eV/cell

The structure in CIF format:
```
data_Pt5I12Br
_chemical_formula_sum 'Pt5 I12 Br1'
_cell_length_a 5.848
_cell_length_b 8.974
_cell_length_c 15.197
_cell_angle_alpha 73.30
_cell_angle_beta 85.24
_cell_angle_gamma 76.99
_symmetry_space_group_name_H-M 'P -1'
_symmetry_Int_Tables_number 2
loop_
_symmetry_equiv_pos_as_xyz
'x,y,z'
'-x,-y,-z'
loop_
_atom_site_label
_atom_site_fract_x
_atom_site_fract_y
_atom_site_fract_z
Pt1 0.000 0.000 0.000
Pt2 0.210 0.162 0.475
Pt3 0.330 0.334 0.002
I1 0.011 0.337 0.322
I2 0.101 0.717 0.419
I3 0.105 0.135 0.119
I4 0.221 0.199 0.884
I5 0.443 0.968 0.618
I6 0.444 0.472 0.117
Br1 0.500 0.500 0.500
```

***

One value per record, in order, for volume: 728, 725, 252, 1535, 442, 270, 1006, 744 Å³ per cell.